The following is a PBE-GGA calculation of an optimized crystal structure of Tb2Sm6Dy3Y, from the Alexandria database.

## Properties
volume: 392.2 Å³ per cell
total energy: -4.81 eV/atom

abc: 6.2259 6.2259 11.8616
angles: 95.00 95.00 119.98
Element x y z (fractional)
Tb1 0.6667 0.3333 0.0000
Tb2 0.3333 0.6667 0.0000
Dy1 0.8333 0.1667 0.5000
Dy2 0.1667 0.8333 0.5000
Dy3 0.5000 0.5000 0.5000
Sm1 0.9160 0.5820 0.7494
Sm2 0.4180 0.0840 0.2506
Sm3 0.7500 0.7500 0.2508
Sm4 0.2500 0.2500 0.7492
Sm5 0.5820 0.9160 0.7494
Sm6 0.0840 0.4180 0.2506
Y1 0.0000 0.0000 0.0000


The following is a PBE-GGA calculation of an optimized crystal structure of TbSm2DyY5, from the Alexandria database.

## Properties
volume: 587.1 Å³ per cell
total energy: -5.40 eV/atom

abc: 8.6874 8.6874 9.9121
angles: 115.99 115.99 90.00
Element x y z (fractional)
Tb1 0.2500 0.2500 0.5000
Tb2 0.7500 0.7500 0.5000
Sm1 0.1168 0.3832 0.0000
Sm2 0.3832 0.8832 0.0000
Sm3 0.6168 0.1168 0.0000
Sm4 0.8832 0.6168 0.0000
Y1 0.0710 0.5710 0.7242
Y2 0.3469 0.8469 0.2758
Y3 0.4290 0.3469 0.2758
Y4 0.9290 0.4290 0.2758
Y5 0.6531 0.1531 0.7242
Y6 0.5710 0.6531 0.7242
Y7 0.8469 0.9290 0.2758
Y8 0.1531 0.0710 0.7242
Y9 0.0000 0.0000 0.0000
Y10 0.5000 0.5000 0.0000
Dy1 0.2500 0.7500 0.5000
Dy2 0.7500 0.2500 0.5000


The following is a PBE-GGA calculation of an optimized crystal structure of Tb2SmDy5Y, from the Alexandria database.

## Properties
volume: 585.9 Å³ per cell
total energy: -4.54 eV/atom

abc: 8.8738 8.8738 9.7330
angles: 117.12 117.12 90.00
Element x y z (fractional)
Dy1 0.9268 0.4268 0.2671
Dy2 0.0000 0.0000 0.0000
Dy3 0.5732 0.6597 0.7329
Dy4 0.3403 0.8403 0.2671
Dy5 0.8403 0.9268 0.2671
Dy6 0.6597 0.1597 0.7329
Dy7 0.5000 0.5000 0.0000
Dy8 0.1597 0.0732 0.7329
Dy9 0.4268 0.3403 0.2671
Dy10 0.0732 0.5732 0.7329
Tb1 0.6135 0.1135 0.0000
Tb2 0.1135 0.3865 0.0000
Tb3 0.3865 0.8865 0.0000
Tb4 0.8865 0.6135 0.0000
Y1 0.7500 0.2500 0.5000
Y2 0.2500 0.7500 0.5000
Sm1 0.7500 0.7500 0.5000
Sm2 0.2500 0.2500 0.5000


The following is a PBE-GGA calculation of an optimized crystal structure of TbSm2Dy5Y, from the Alexandria database.

## Properties
volume: 582.2 Å³ per cell
total energy: -4.56 eV/atom

abc: 8.6266 8.6266 9.9205
angles: 115.77 115.77 90.00
Element x y z (fractional)
Dy1 0.8487 0.9290 0.2777
Dy2 0.5710 0.6513 0.7223
Dy3 0.0000 0.0000 0.0000
Dy4 0.3487 0.8487 0.2777
Dy5 0.4290 0.3487 0.2777
Dy6 0.9290 0.4290 0.2777
Dy7 0.1513 0.0710 0.7223
Dy8 0.5000 0.5000 0.0000
Dy9 0.6513 0.1513 0.7223
Dy10 0.0710 0.5710 0.7223
Sm1 0.6178 0.1178 0.0000
Sm2 0.1178 0.3822 0.0000
Sm3 0.3822 0.8822 0.0000
Sm4 0.8822 0.6178 0.0000
Y1 0.2500 0.2500 0.5000
Y2 0.7500 0.7500 0.5000
Tb1 0.2500 0.7500 0.5000
Tb2 0.7500 0.2500 0.5000


The following is a PBE-GGA calculation of an optimized crystal structure of TbSm2Dy6Y, from the Alexandria database.

## Properties
volume: 649.9 Å³ per cell
total energy: -4.70 eV/atom

abc: 9.6752 8.7869 8.7869
angles: 118.33 94.47 94.47
Element x y z (fractional)
Dy1 0.4436 0.2531 0.8761
Dy2 0.1851 0.5740 0.0223
Dy3 0.3149 0.9777 0.4260
Dy4 0.5564 0.7469 0.1239
Dy5 0.9436 0.8761 0.2531
Dy6 0.3792 0.5027 0.2912
Dy7 0.1208 0.7088 0.4973
Dy8 0.8149 0.4260 0.9777
Dy9 0.6851 0.0223 0.5740
Dy10 0.0564 0.1239 0.7469
Dy11 0.6208 0.4973 0.7088
Dy12 0.8792 0.2912 0.5027
Sm1 0.5422 0.1945 0.2983
Sm2 0.4578 0.8055 0.7017
Sm3 0.9578 0.7017 0.8055
Sm4 0.0422 0.2983 0.1945
Tb1 0.7500 0.0199 0.9801
Tb2 0.2500 0.9801 0.0199
Y1 0.7500 0.5928 0.4072
Y2 0.2500 0.4072 0.5928


The following is a PBE-GGA calculation of an optimized crystal structure of TbSm3Dy6Y2, from the Alexandria database.

## Properties
volume: 385.9 Å³ per cell
total energy: -4.93 eV/atom

abc: 6.1841 6.1841 11.8275
angles: 94.98 94.98 119.98
Element x y z (fractional)
Dy1 0.2496 0.2496 0.7515
Dy2 0.7504 0.7504 0.2485
Dy3 0.5840 0.9167 0.7514
Dy4 0.4160 0.0833 0.2486
Dy5 0.0833 0.4160 0.2486
Dy6 0.9167 0.5840 0.7514
Y1 0.3333 0.6667 0.0000
Y2 0.6667 0.3333 0.0000
Sm1 0.8333 0.1667 0.5000
Sm2 0.1667 0.8333 0.5000
Sm3 0.5000 0.5000 0.5000
Tb1 0.0000 0.0000 0.0000


The following is a PBE-GGA calculation of an optimized crystal structure of TbSmDy2Y, from the Alexandria database.

## Properties
volume: 346.5 Å³ per cell
total energy: -4.61 eV/atom

abc: 7.1897 8.3782 7.1167
angles: 126.06 90.00 90.00
Element x y z (fractional)
Y1 0.7500 0.7315 0.4631
Y2 0.2500 0.2685 0.5369
Dy1 0.0000 0.3100 0.0000
Dy2 0.0000 0.6900 0.0000
Dy3 0.5000 0.3100 0.0000
Dy4 0.5000 0.6900 0.0000
Tb1 0.7500 0.0135 0.0269
Tb2 0.2500 0.9865 0.9731
Sm1 0.2500 0.7197 0.4394
Sm2 0.7500 0.2803 0.5606


The following is a PBE-GGA calculation of an optimized crystal structure of TbSmDy6Y2, from the Alexandria database.

## Properties
volume: 648.4 Å³ per cell
total energy: -4.86 eV/atom

abc: 9.4849 8.7999 8.7999
angles: 117.33 93.35 93.35
Element x y z (fractional)
Dy1 0.1837 0.5650 0.0167
Dy2 0.1174 0.7082 0.4864
Dy3 0.8826 0.2918 0.5136
Dy4 0.6174 0.4864 0.7082
Dy5 0.4427 0.2462 0.8791
Dy6 0.5573 0.7538 0.1209
Dy7 0.0573 0.1209 0.7538
Dy8 0.6837 0.0167 0.5650
Dy9 0.3826 0.5136 0.2918
Dy10 0.9427 0.8791 0.2462
Dy11 0.3163 0.9833 0.4350
Dy12 0.8163 0.4350 0.9833
Sm1 0.2500 0.9714 0.0286
Sm2 0.7500 0.0286 0.9714
Y1 0.5472 0.1993 0.3015
Y2 0.9528 0.6985 0.8007
Y3 0.0472 0.3015 0.1993
Y4 0.4528 0.8007 0.6985
Tb1 0.2500 0.4096 0.5904
Tb2 0.7500 0.5904 0.4096


The following is a PBE-GGA calculation of an optimized crystal structure of Tb6SmDy2Y3, from the Alexandria database.

## Properties
volume: 384.5 Å³ per cell
total energy: -5.08 eV/atom

abc: 6.1745 6.1745 11.8177
angles: 94.97 94.97 119.95
Element x y z (fractional)
Sm1 0.0000 0.0000 0.0000
Tb1 0.4177 0.0840 0.2499
Tb2 0.2498 0.2498 0.7502
Tb3 0.0840 0.4177 0.2499
Tb4 0.5823 0.9160 0.7501
Tb5 0.7502 0.7502 0.2498
Tb6 0.9160 0.5823 0.7501
Y1 0.5000 0.5000 0.5000
Y2 0.8331 0.1669 0.5000
Y3 0.1669 0.8331 0.5000
Dy1 0.3333 0.6667 0.0000
Dy2 0.6667 0.3333 0.0000


The following is a PBE-GGA calculation of an optimized crystal structure of TbSm3DyY, from the Alexandria database.

## Properties
volume: 393.7 Å³ per cell
total energy: -4.96 eV/atom

abc: 5.0771 8.0421 10.1623
angles: 90.00 90.00 108.40
Element x y z (fractional)
Tb1 0.0000 0.0000 0.0000
Tb2 0.0000 0.0000 0.5000
Sm1 0.3343 0.6685 0.4997
Sm2 0.6657 0.3315 0.9997
Sm3 0.3343 0.6685 0.0003
Sm4 0.1658 0.3317 0.7500
Sm5 0.8342 0.6683 0.2500
Sm6 0.6657 0.3315 0.5003
Dy1 0.4998 0.9996 0.7500
Dy2 0.5002 0.0004 0.2500
Y1 0.1658 0.3316 0.2500
Y2 0.8342 0.6684 0.7500